## Np2Be3CoP4 (PBE)

Data for a geometry-optimized Np2Be3CoP4 structure.

```
Np2Be3CoP4
1.0
3.962 0.000 0.000
0.000 3.962 0.000
0.000 0.000 8.641
Be P Np Co
3 4 2 1
Direct
0.000 0.500 0.114
0.000 0.000 0.500
0.500 0.000 0.886
0.000 0.000 0.000
0.000 0.500 0.365
0.500 0.500 0.000
0.500 0.000 0.635
0.500 0.000 0.241
0.000 0.500 0.759
0.500 0.500 0.500
```

As for the space group: P-4m2, No. 115. For the energy of formation from the pure elements, the calculation gives -0.45 eV/atom.